Computed, not measured: a geometry-optimized NaTl2CoBr6 structure at the PBE-GGA level of DFT.

a = 7.3483 Å, b = 7.6421 Å, c = 12.8623 Å
α = 90.00°, β = 124.16°, γ = 90.00°
Positions (direct):
Na: 0.0000 0.0000 0.0000
Na: 0.0000 0.5000 0.5000
Tl: 0.2328 0.0661 0.7525
Tl: 0.2328 0.4339 0.2525
Tl: 0.7672 0.5661 0.7475
Tl: 0.7672 0.9339 0.2475
Co: 0.5000 0.0000 0.5000
Co: 0.5000 0.5000 0.0000
Br: 0.1935 0.1753 0.4661
Br: 0.1935 0.3247 0.9661
Br: 0.2924 0.7322 0.4671
Br: 0.2924 0.7678 0.9671
Br: 0.3483 0.0080 0.2760
Br: 0.3483 0.4920 0.7760
Br: 0.6517 0.5080 0.2240
Br: 0.6517 0.9920 0.7240
Br: 0.7076 0.2322 0.0329
Br: 0.7076 0.2678 0.5329
Br: 0.8065 0.6753 0.0339
Br: 0.8065 0.8247 0.5339

Output
For the final energy, the calculation gives -0.2237 Ry per atom. As for the crystal system: monoclinic. The value obtained for the magnetic moment is 0.0001 μB/atom.